[1]
# GGA-PBE CaLuAgPt, optimized geometry
# Formation enthalpy at 0 K = -2.82 eV per formula unit
data_CaLuAgPt
_chemical_formula_sum 'Ca4 Lu4 Ag4 Pt4'
_cell_length_a 7.030
_cell_length_b 7.030
_cell_length_c 7.030
_cell_angle_alpha 90.00
_cell_angle_beta 90.00
_cell_angle_gamma 90.00
_space_group_name_H-M_alt 'F -4 3 m'
_space_group_IT_number 216
_space_group_name_Hall 'F -4 2 3'
loop_
_atom_site_label
_atom_site_fract_x
_atom_site_fract_y
_atom_site_fract_z
Ca1 0.000 0.000 0.000
Lu1 0.000 0.000 0.500
Ag1 0.250 0.250 0.250
Pt1 0.250 0.250 0.750

=====

[2]
# GGA-PBE LaY2Ho2Er2, optimized geometry
# Formation enthalpy at 0 K = 0.71 eV per formula unit
data_LaY2Ho2Er2
_chemical_formula_sum 'La2 Y4 Ho4 Er4'
_cell_length_a 11.665
_cell_length_b 3.511
_cell_length_c 11.801
_cell_angle_alpha 90.00
_cell_angle_beta 108.84
_cell_angle_gamma 90.00
_space_group_name_H-M_alt 'C 1 2/m 1'
_space_group_IT_number 12
_space_group_name_Hall '-C 2y'
loop_
_atom_site_label
_atom_site_fract_x
_atom_site_fract_y
_atom_site_fract_z
La1 0.000 0.000 0.000
Y1 0.053 0.500 0.275
Ho1 0.170 0.500 0.581
Er1 0.223 0.000 0.856

=====

[3]
# GGA-PBE SrFe2H8, optimized geometry
# Energy = -4.2426 eV/atom
data_SrFe2H8
_chemical_formula_sum 'Sr2 Fe4 H16'
_cell_length_a 4.543
_cell_length_b 7.946
_cell_length_c 4.692
_cell_angle_alpha 90.00
_cell_angle_beta 90.62
_cell_angle_gamma 90.00
_space_group_name_H-M_alt 'C 1 m 1'
_space_group_IT_number 8
_space_group_name_Hall 'C -2y'
loop_
_atom_site_label
_atom_site_fract_x
_atom_site_fract_y
_atom_site_fract_z
Sr1 0.000 0.000 0.000
Fe1 0.021 0.325 0.509
H1 0.016 0.315 0.176
H2 0.025 0.500 0.719
H3 0.244 0.219 0.732
H4 0.378 0.359 0.444
H5 0.449 0.000 0.329

=====

[4]
# GGA-PBE LiNi2Pd, optimized geometry
# Formation enthalpy at 0 K = -0.32 eV per formula unit
data_LiNi2Pd
_chemical_formula_sum 'Li1 Ni2 Pd1'
_cell_length_a 3.532
_cell_length_b 3.532
_cell_length_c 3.907
_cell_angle_alpha 90.00
_cell_angle_beta 90.00
_cell_angle_gamma 90.00
_space_group_name_H-M_alt 'P 4/m m m'
_space_group_IT_number 123
_space_group_name_Hall '-P 4 2'
loop_
_atom_site_label
_atom_site_fract_x
_atom_site_fract_y
_atom_site_fract_z
Li1 0.000 0.000 0.000
Ni1 0.000 0.500 0.500
Pd1 0.500 0.500 0.000

=====

[5]
# GGA-PBE CaPbW2, optimized geometry
# Formation enthalpy at 0 K = 3.04 eV per formula unit
data_CaPbW2
_chemical_formula_sum 'Ca4 Pb4 W8'
_cell_length_a 6.810
_cell_length_b 6.810
_cell_length_c 6.810
_cell_angle_alpha 90.00
_cell_angle_beta 90.00
_cell_angle_gamma 90.00
_space_group_name_H-M_alt 'F -4 3 m'
_space_group_IT_number 216
_space_group_name_Hall 'F -4 2 3'
loop_
_atom_site_label
_atom_site_fract_x
_atom_site_fract_y
_atom_site_fract_z
Ca1 0.000 0.000 0.000
Pb1 0.250 0.250 0.250
W1 0.000 0.000 0.500
W2 0.250 0.250 0.750

=====

[6]
# GGA-PBE TaMoC2, optimized geometry
# Excess energy over the best structure of this formula in the dataset = 0.000 eV/atom
# Formation enthalpy at 0 K = -0.90 eV per formula unit
data_TaMoC2
_chemical_formula_sum 'Ta3 Mo3 C6'
_cell_length_a 3.0596
_cell_length_b 3.0596
_cell_length_c 16.2613
_cell_angle_alpha 90.00
_cell_angle_beta 90.00
_cell_angle_gamma 120.00
_space_group_name_H-M_alt 'R 3 m'
_space_group_IT_number 160
_space_group_name_Hall 'R 3 -2"'
loop_
_atom_site_label
_atom_site_fract_x
_atom_site_fract_y
_atom_site_fract_z
Ta1 0.0000 0.0000 0.0000
Mo1 0.0000 0.0000 0.8258
C1 0.0000 0.0000 0.4153
C2 0.0000 0.0000 0.5802

=====

[7]
# GGA-PBE ZrCu2Mo, optimized geometry
# Excess energy over the best structure of this formula in the dataset = 0.230 eV/atom
# Formation enthalpy at 0 K = 1.27 eV per formula unit
data_ZrCu2Mo
_chemical_formula_sum 'Zr3 Cu6 Mo3'
_cell_length_a 2.8255
_cell_length_b 2.8255
_cell_length_c 27.5440
_cell_angle_alpha 90.00
_cell_angle_beta 90.00
_cell_angle_gamma 120.00
_space_group_name_H-M_alt 'R 3 m'
_space_group_IT_number 160
_space_group_name_Hall 'R 3 -2"'
loop_
_atom_site_label
_atom_site_fract_x
_atom_site_fract_y
_atom_site_fract_z
Zr1 0.0000 0.0000 0.0000
Cu1 0.0000 0.0000 0.4919
Cu2 0.0000 0.0000 0.7542
Mo1 0.0000 0.0000 0.2371

=====

[8]
# GGA-PBE Al2TcSn, optimized geometry
# Formation enthalpy at 0 K = 1.57 eV per formula unit
data_Al2TcSn
_chemical_formula_sum 'Al8 Tc4 Sn4'
_cell_length_a 7.868
_cell_length_b 7.868
_cell_length_c 5.281
_cell_angle_alpha 90.00
_cell_angle_beta 90.00
_cell_angle_gamma 90.00
_space_group_name_H-M_alt 'I -4 2 d'
_space_group_IT_number 122
_space_group_name_Hall 'I -4 2bw'
loop_
_atom_site_label
_atom_site_fract_x
_atom_site_fract_y
_atom_site_fract_z
Al1 0.182 0.750 0.125
Tc1 0.000 0.000 0.000
Sn1 0.000 0.000 0.500

=====

[9]
# GGA-PBE Pr6InAu2, optimized geometry
# Formation enthalpy at 0 K = -3.89 eV per formula unit
data_Pr6InAu2
_chemical_formula_sum 'Pr24 In4 Au8'
_cell_length_a 9.990
_cell_length_b 10.360
_cell_length_c 10.915
_cell_angle_alpha 90.00
_cell_angle_beta 90.00
_cell_angle_gamma 90.00
_space_group_name_H-M_alt 'I m m m'
_space_group_IT_number 71
_space_group_name_Hall '-I 2 2'
loop_
_atom_site_label
_atom_site_fract_x
_atom_site_fract_y
_atom_site_fract_z
Pr1 0.000 0.198 0.243
Pr2 0.207 0.500 0.173
Pr3 0.220 0.319 0.500
In1 0.000 0.000 0.000
In2 0.000 0.000 0.500
Au1 0.000 0.348 0.000
Au2 0.000 0.500 0.369

=====

[10]
# GGA-PBE NpAsPd, optimized geometry
# Formation enthalpy at 0 K = -1.32 eV per formula unit
data_NpAsPd
_chemical_formula_sum 'Np4 As4 Pd4'
_cell_length_a 10.167
_cell_length_b 4.411
_cell_length_c 5.682
_cell_angle_alpha 90.00
_cell_angle_beta 94.72
_cell_angle_gamma 90.00
_space_group_name_H-M_alt 'C 1 2/m 1'
_space_group_IT_number 12
_space_group_name_Hall '-C 2y'
loop_
_atom_site_label
_atom_site_fract_x
_atom_site_fract_y
_atom_site_fract_z
Np1 0.132 0.000 0.230
As1 0.174 0.000 0.731
Pd1 0.060 0.500 0.786

=====

[11]
# GGA-PBE Cs3NpSc2S6, optimized geometry
# Raw formation energy = -1.5509 eV per atom
data_Cs3NpSc2S6
_chemical_formula_sum 'Cs6 Np2 Sc4 S12'
_cell_length_a 6.913
_cell_length_b 11.971
_cell_length_c 8.325
_cell_angle_alpha 90.00
_cell_angle_beta 106.07
_cell_angle_gamma 90.00
_space_group_name_H-M_alt 'C 1 2/m 1'
_space_group_IT_number 12
_space_group_name_Hall '-C 2y'
loop_
_atom_site_label
_atom_site_fract_x
_atom_site_fract_y
_atom_site_fract_z
Cs1 0.000 0.000 0.000
Cs2 0.000 0.334 0.000
Np1 0.000 0.500 0.500
Sc1 0.000 0.167 0.500
S1 0.212 0.000 0.676
S2 0.232 0.327 0.676

=====

[12]
# GGA-PBE SrCd12Pd6, optimized geometry
# Formation enthalpy at 0 K = -4.73 eV per formula unit
data_SrCd12Pd6
_chemical_formula_sum 'Sr3 Cd36 Pd18'
_cell_length_a 12.4864
_cell_length_b 12.4864
_cell_length_c 9.3040
_cell_angle_alpha 90.00
_cell_angle_beta 90.00
_cell_angle_gamma 120.00
_space_group_name_H-M_alt 'R -3 m'
_space_group_IT_number 166
_space_group_name_Hall '-R 3 2"'
loop_
_atom_site_label
_atom_site_fract_x
_atom_site_fract_y
_atom_site_fract_z
Sr1 0.0000 0.0000 0.0000
Cd1 0.0000 0.3833 0.5000
Cd2 0.0861 0.1722 0.3160
Pd1 0.0524 0.5262 0.2512

=====

Copy entry 10 word for word.
# GGA-PBE NpAsPd, optimized geometry
# Formation enthalpy at 0 K = -1.32 eV per formula unit
data_NpAsPd
_chemical_formula_sum 'Np4 As4 Pd4'
_cell_length_a 10.167
_cell_length_b 4.411
_cell_length_c 5.682
_cell_angle_alpha 90.00
_cell_angle_beta 94.72
_cell_angle_gamma 90.00
_space_group_name_H-M_alt 'C 1 2/m 1'
_space_group_IT_number 12
_space_group_name_Hall '-C 2y'
loop_
_atom_site_label
_atom_site_fract_x
_atom_site_fract_y
_atom_site_fract_z
Np1 0.132 0.000 0.230
As1 0.174 0.000 0.731
Pd1 0.060 0.500 0.786

=====

Repeat the third record exactly.
# GGA-PBE SrFe2H8, optimized geometry
# Energy = -4.2426 eV/atom
data_SrFe2H8
_chemical_formula_sum 'Sr2 Fe4 H16'
_cell_length_a 4.543
_cell_length_b 7.946
_cell_length_c 4.692
_cell_angle_alpha 90.00
_cell_angle_beta 90.62
_cell_angle_gamma 90.00
_space_group_name_H-M_alt 'C 1 m 1'
_space_group_IT_number 8
_space_group_name_Hall 'C -2y'
loop_
_atom_site_label
_atom_site_fract_x
_atom_site_fract_y
_atom_site_fract_z
Sr1 0.000 0.000 0.000
Fe1 0.021 0.325 0.509
H1 0.016 0.315 0.176
H2 0.025 0.500 0.719
H3 0.244 0.219 0.732
H4 0.378 0.359 0.444
H5 0.449 0.000 0.329